[1]
Below is crystalline CaMoS2Cl at its relaxed geometry, with properties calculated at the GGA-PBE level.

Output
As for the energy: -4.343 eV per atom. Its density of states at the Fermi level is 0.566 states/eV per atom. Its space group is P4/mmm, No. 123. For the total magnetization, the calculation gives 2.990 μB/cell.

Unit cell a=5.273 b=5.273 c=4.998 alpha=90.00 beta=90.00 gamma=90.00
Sites, in units of the cell vectors:
Ca 0.000 0.000 0.000
Mo 0.500 0.500 0.500
S 0.000 0.500 0.000
S 0.500 0.000 0.000
Cl 0.000 0.000 0.500

=====

[2]
Below is crystalline CaTlMoCl6 at its relaxed geometry, with properties calculated at the GGA-PBE level.

Output
As for the energy: -4.333 eV per atom. Its density of states at the Fermi level is 0.000 states/eV per atom. Its space group is P-31c, No. 163. For the total magnetization, the calculation gives 6.000 μB/cell.

Unit cell a=6.848 b=6.848 c=13.953 alpha=90.00 beta=90.00 gamma=120.00
Sites, in units of the cell vectors:
Ca 0.333 0.667 0.250
Ca 0.667 0.333 0.750
Tl 0.000 0.000 0.000
Tl 0.000 0.000 0.500
Mo 0.333 0.667 0.750
Mo 0.667 0.333 0.250
Cl 0.031 0.384 0.646
Cl 0.031 0.648 0.854
Cl 0.352 0.384 0.854
Cl 0.352 0.969 0.646
Cl 0.384 0.031 0.146
Cl 0.384 0.352 0.354
Cl 0.616 0.648 0.646
Cl 0.616 0.969 0.854
Cl 0.648 0.031 0.354
Cl 0.648 0.616 0.146
Cl 0.969 0.352 0.146
Cl 0.969 0.616 0.354

=====

[3]
Below is crystalline Ca3NCl at its relaxed geometry, with properties calculated at the GGA-PBE level.

Output
As for the energy: -4.165 eV per atom. Its density of states at the Fermi level is 0.424 states/eV per atom. Its space group is P2_1/m, No. 11. For the total magnetization, the calculation gives 0.651 μB/cell.

Unit cell a=3.859 b=9.736 c=7.373 alpha=90.00 beta=105.09 gamma=90.00
Sites, in units of the cell vectors:
Ca 0.049 0.250 0.098
Ca 0.398 0.052 0.796
Ca 0.398 0.448 0.796
Ca 0.602 0.552 0.204
Ca 0.602 0.948 0.204
Ca 0.951 0.750 0.902
N 0.000 0.000 0.000
N 0.000 0.500 0.000
Cl 0.246 0.250 0.501
Cl 0.754 0.750 0.499

=====

[4]
Below is crystalline CaNCl3 at its relaxed geometry, with properties calculated at the GGA-PBE level.

Output
As for the energy: -4.358 eV per atom. Its density of states at the Fermi level is 0.000 states/eV per atom. Its space group is P1, No. 1. For the total magnetization, the calculation gives 0.000 μB/cell.

Unit cell a=4.182 b=5.419 c=13.377 alpha=85.99 beta=83.05 gamma=89.70
Sites, in units of the cell vectors:
Ca 0.000 0.000 0.000
Ca 0.416 0.462 0.218
N 0.137 0.719 0.652
N 0.278 0.742 0.566
Cl 0.108 0.995 0.499
Cl 0.307 0.466 0.718
Cl 0.440 0.973 0.156
Cl 0.546 0.020 0.881
Cl 0.870 0.442 0.337
Cl 0.976 0.489 0.062